Computed, not measured: a relaxed LiPm2 crystal at the PBE level of DFT.

Results
Energy above the lowest structure with this stoichiometry (eV/atom): 0.032

Lattice parameters (Å, degrees): 5.1097 5.1097 5.1097 60.00 60.00 60.00
Positions (direct):
1 Li 0.0000 0.0000 0.0000
2 Pm 0.7500 0.7500 0.7500
3 Pm 0.2500 0.2500 0.2500

Computed, not measured: a relaxed LiPm2 crystal at the PBE level of DFT.

Results
Energy above the lowest structure with this stoichiometry (eV/atom): 1.393

Lattice parameters (Å, degrees): 8.4049 8.4049 8.4049 60.00 60.00 60.00
Positions (direct):
1 Pm 0.8750 0.3750 0.3750
2 Pm 0.3750 0.3750 0.8750
3 Li 0.5000 0.5000 0.5000
4 Li 0.2500 0.2500 0.2500
5 Pm 0.3750 0.3750 0.3750
6 Pm 0.3750 0.8750 0.3750

Computed, not measured: a relaxed LiPmPr crystal at the PBE level of DFT.

Results
Energy above the lowest structure with this stoichiometry (eV/atom): 0.139

Lattice parameters (Å, degrees): 5.1581 5.1581 5.1581 60.00 60.00 60.00
Positions (direct):
1 Pr 0.7500 0.7500 0.7500
2 Li 0.0000 0.0000 0.0000
3 Pm 0.2500 0.2500 0.2500

Computed, not measured: a relaxed Li2PmPr5 crystal at the PBE level of DFT.

Results
Final energy (eV/cell): -29.89

Lattice parameters (Å, degrees): 5.4984 5.4984 8.8568 90.00 90.00 90.00
Positions (direct):
1 Pm 0.0000 0.0000 0.0000
2 Pr 0.5000 0.0000 0.7192
3 Li 0.5000 0.5000 0.3785
4 Pr 0.5000 0.5000 0.0000
5 Li 0.5000 0.5000 0.6215
6 Pr 0.0000 0.5000 0.2808
7 Pr 0.0000 0.5000 0.7192
8 Pr 0.5000 0.0000 0.2808

Computed, not measured: a relaxed LiPmPr crystal at the PBE level of DFT.

Results
Energy above the lowest structure with this stoichiometry (eV/atom): 0.000

Lattice parameters (Å, degrees): 5.6544 5.6544 9.8114 90.00 90.00 120.00
Positions (direct):
1 Pr 0.3333 0.6667 0.3361
2 Pm 0.0000 0.0000 0.3314
3 Pm 0.3333 0.6667 0.0000
4 Pr 0.3333 0.6667 0.6639
5 Li 0.6667 0.3333 0.8324
6 Pr 0.0000 0.0000 0.0000
7 Li 0.6667 0.3333 0.5000
8 Li 0.6667 0.3333 0.1676
9 Pm 0.0000 0.0000 0.6686

Computed, not measured: a relaxed LiPm3Pt8 crystal at the PBE level of DFT.

Results
Final energy (eV/cell): -76.29

Lattice parameters (Å, degrees): 9.4454 9.4454 9.4454 33.57 33.57 33.57
Positions (direct):
1 Pt 0.4370 0.9409 0.4370
2 Pt 0.4370 0.4370 0.9409
3 Pt 0.1887 0.1887 0.1887
4 Pt 0.9387 0.4380 0.9387
5 Pt 0.6884 0.6884 0.6884
6 Pt 0.4380 0.9387 0.9387
7 Pt 0.9409 0.4370 0.4370
8 Pt 0.9387 0.9387 0.4380
9 Pm 0.9913 0.9913 0.9913
10 Li 0.8663 0.8663 0.8663
11 Pm 0.5069 0.5069 0.5069
12 Pm 0.3782 0.3782 0.3782

Computed, not measured: a relaxed Li4PmPt2 crystal at the PBE level of DFT.

Results
Final energy (eV/cell): -57.30

Lattice parameters (Å, degrees): 7.5655 7.5655 4.1734 90.00 90.00 90.00
Positions (direct):
1 Li 0.3493 0.9015 0.5000
2 Li 0.8493 0.5985 0.0000
3 Li 0.9015 0.3493 0.5000
4 Li 0.4015 0.1507 0.0000
5 Pt 0.2902 0.7098 0.0000
6 Pt 0.7902 0.7902 0.5000
7 Li 0.5985 0.8493 0.0000
8 Li 0.1507 0.4015 0.0000
9 Li 0.6507 0.0985 0.5000
10 Pt 0.7098 0.2902 0.0000
11 Pm 0.5000 0.5000 0.5000
12 Li 0.0985 0.6507 0.5000
13 Pm 0.0000 0.0000 0.0000
14 Pt 0.2098 0.2098 0.5000

Computed, not measured: a relaxed RbLiPm crystal at the PBE level of DFT.

Results
Final energy (eV/cell): -5.22

Lattice parameters (Å, degrees): 5.6866 5.6866 5.6866 60.00 60.00 60.00
Positions (direct):
1 Pm 0.2500 0.2500 0.2500
2 Rb 0.7500 0.7500 0.7500
3 Li 0.0000 0.0000 0.0000

Computed, not measured: a relaxed LiPmSb crystal at the PBE level of DFT.

Results
Energy above the lowest structure with this stoichiometry (eV/atom): 0.312

Lattice parameters (Å, degrees): 5.0623 5.0623 5.0623 60.00 60.00 60.00
Positions (direct):
1 Li 0.2500 0.2500 0.2500
2 Sb 0.7500 0.7500 0.7500
3 Pm 0.0000 0.0000 0.0000

Computed, not measured: a relaxed LiPmSb crystal at the PBE level of DFT.

Results
Energy above the lowest structure with this stoichiometry (eV/atom): 0.000

Lattice parameters (Å, degrees): 4.9780 4.9780 4.9780 60.00 60.00 60.00
Positions (direct):
1 Li 0.0000 0.0000 0.0000
2 Sb 0.7500 0.7500 0.7500
3 Pm 0.5000 0.5000 0.5000

Computed, not measured: a relaxed LiPmSm crystal at the PBE level of DFT.

Results
Energy above the lowest structure with this stoichiometry (eV/atom): 0.000

Lattice parameters (Å, degrees): 5.1173 5.1173 5.1173 60.00 60.00 60.00
Positions (direct):
1 Pm 0.2500 0.2500 0.2500
2 Li 0.0000 0.0000 0.0000
3 Sm 0.7500 0.7500 0.7500

Computed, not measured: a relaxed LiPmSn crystal at the PBE level of DFT.

Results
Energy above the lowest structure with this stoichiometry (eV/atom): 0.000

Lattice parameters (Å, degrees): 4.5556 4.5556 7.1497 90.00 90.00 90.00
Positions (direct):
1 Li 0.5000 0.5000 0.5000
2 Pm 0.5000 0.0000 0.1837
3 Sn 0.0000 0.5000 0.2662
4 Pm 0.0000 0.5000 0.8163
5 Sn 0.5000 0.0000 0.7338
6 Li 0.0000 0.0000 0.5000